Material: Tb4Pm3Y8
Method: DFT, PBE
State: relaxed

Fermi-level density of states: 31.11 states/eV/cell
Calculated total energy: -0.19277 Ha/atom

Unit cell a=9.3169 b=9.3169 c=6.7757 alpha=111.31 beta=111.31 gamma=87.22
Last column: nearest neighbours and their distance in Å.
Atoms (fractional coordinates):
1 Tb 0.0000 0.0000 0.0000  6 Y 3.24-3.50, 2 Tb 3.39
2 Tb 0.0000 0.0000 0.5000  2 Tb 3.39, 4 Y 3.50-3.61
3 Tb 0.0000 0.5000 0.0000  4 Y 3.22-3.37, 2 Pm 3.39
4 Tb 0.5000 0.0000 0.0000  4 Y 3.22-3.37, 2 Pm 3.39
5 Pm 0.0000 0.5000 0.5000  4 Y 3.22-3.37, 2 Tb 3.39
6 Pm 0.5000 0.0000 0.5000  4 Y 3.22-3.37, 2 Tb 3.39
7 Pm 0.5000 0.5000 0.0000  6 Y 3.18-3.26
8 Y 0.2522 0.7478 0.0000  3 Pm 3.18-3.37, 3 Tb 3.24-3.37
9 Y 0.2618 0.2618 0.0144  4 Tb 3.22-3.50, 2 Y 3.25-3.52, 1 Pm 3.26
10 Y 0.2679 0.2679 0.5003  3 Pm 3.22-3.26, 2 Y 3.25-3.52, 1 Tb 3.50
11 Y 0.3570 0.6430 0.5000  7 Y 3.63-3.73, 4 Pm 3.64-3.85, 2 Tb 3.64
12 Y 0.6430 0.3570 0.5000  7 Y 3.63-3.73, 4 Pm 3.64-3.85, 2 Tb 3.64
13 Y 0.7321 0.7321 0.4997  3 Pm 3.22-3.26, 2 Y 3.25-3.52, 1 Tb 3.50
14 Y 0.7382 0.7382 0.9856  4 Tb 3.22-3.50, 2 Y 3.25-3.52, 1 Pm 3.26
15 Y 0.7478 0.2522 0.0000  3 Pm 3.18-3.37, 3 Tb 3.24-3.37


Material: TbPm8Y4
Method: DFT, PBE
State: relaxed

Fermi-level density of states: 21.25 states/eV/cell
Calculated total energy: -0.17558 Ha/atom

Unit cell a=7.8881 b=7.8881 c=7.8881 alpha=90.16 beta=90.16 gamma=90.16
Last column: nearest neighbours and their distance in Å.
Atoms (fractional coordinates):
1 Tb 0.0000 0.0000 0.0000  8 Pm 3.54-3.55, 6 Y 3.94
2 Pm 0.2584 0.7403 0.7403  4 Y 3.29-3.46, 1 Tb 3.55
3 Pm 0.2596 0.2596 0.2596  4 Y 3.28-3.46, 1 Tb 3.54
4 Pm 0.2597 0.2597 0.7416  4 Y 3.29-3.46, 1 Tb 3.55
5 Pm 0.2597 0.7416 0.2597  4 Y 3.29-3.46, 1 Tb 3.55
6 Pm 0.7403 0.2584 0.7403  4 Y 3.29-3.46, 1 Tb 3.55
7 Pm 0.7403 0.7403 0.2584  4 Y 3.29-3.46, 1 Tb 3.55
8 Pm 0.7404 0.7404 0.7404  4 Y 3.28-3.46, 1 Tb 3.54
9 Pm 0.7416 0.2597 0.2597  4 Y 3.29-3.46, 1 Tb 3.55
10 Y 0.0000 0.0000 0.5000  8 Pm 3.46
11 Y 0.0000 0.5000 0.0000  8 Pm 3.46
12 Y 0.5000 0.0000 0.0000  8 Pm 3.46
13 Y 0.5000 0.5000 0.5000  8 Pm 3.28-3.29


Material: Tb5Pm2Y4
Method: DFT, PBE
State: relaxed

Fermi-level density of states: 16.64 states/eV/cell
Calculated total energy: -0.18731 Ha/atom

Unit cell a=12.6669 b=12.6669 c=12.6669 alpha=164.03 beta=137.97 gamma=45.24
Last column: nearest neighbours and their distance in Å.
Atoms (fractional coordinates):
1 Tb 0.0000 0.0000 0.0000  4 Y 3.32, 2 Tb 3.52
2 Tb 0.0524 0.3567 0.6957  1 Pm 3.40, 3 Y 3.44-3.51, 3 Tb 3.52-3.56
3 Tb 0.3390 0.6433 0.6957  1 Pm 3.40, 3 Y 3.44-3.51, 3 Tb 3.52-3.56
4 Tb 0.6610 0.3567 0.3043  1 Pm 3.40, 3 Y 3.44-3.51, 3 Tb 3.52-3.56
5 Tb 0.9476 0.6433 0.3043  1 Pm 3.40, 3 Y 3.44-3.51, 3 Tb 3.52-3.56
6 Pm 0.2674 0.7674 0.5000  1 Y 3.15, 2 Tb 3.40, 2 Pm 3.52
7 Pm 0.7326 0.2326 0.5000  1 Y 3.15, 2 Tb 3.40, 2 Pm 3.52
8 Y 0.3098 0.5000 0.8098  4 Tb 3.32-3.51, 7 Y 3.37-3.52
9 Y 0.4019 0.9019 0.5000  1 Pm 3.15, 6 Y 3.37-3.52, 4 Tb 3.44
10 Y 0.5981 0.0981 0.5000  1 Pm 3.15, 6 Y 3.37-3.52, 4 Tb 3.44
11 Y 0.6902 0.5000 0.1902  4 Tb 3.32-3.51, 7 Y 3.37-3.52


Material: Tb2Pm3Y3
Method: DFT, PBE
State: relaxed

Fermi-level density of states: 30.54 states/eV/cell
Calculated total energy: -0.19641 Ha/atom

Unit cell a=5.7519 b=14.6672 c=6.3330 alpha=90.00 beta=90.00 gamma=90.00
Last column: nearest neighbours and their distance in Å.
Atoms (fractional coordinates):
1 Tb 0.2500 0.1247 0.1667  5 Pm 3.56-3.66, 6 Y 3.57-3.66, 1 Tb 3.68
2 Tb 0.2500 0.3753 0.1667  5 Pm 3.56-3.66, 6 Y 3.57-3.66, 1 Tb 3.68
3 Tb 0.7500 0.6247 0.8333  5 Pm 3.56-3.66, 6 Y 3.57-3.66, 1 Tb 3.68
4 Tb 0.7500 0.8753 0.8333  5 Pm 3.56-3.66, 6 Y 3.57-3.66, 1 Tb 3.68
5 Pm 0.2500 0.2500 0.6668  4 Y 3.57-3.67, 4 Pm 3.57, 4 Tb 3.66
6 Pm 0.2500 0.6247 0.1659  3 Tb 3.56-3.66, 6 Y 3.57-3.67, 3 Pm 3.57-3.68
7 Pm 0.2500 0.8753 0.1659  3 Tb 3.56-3.66, 6 Y 3.57-3.67, 3 Pm 3.57-3.68
8 Pm 0.7500 0.1247 0.8341  3 Tb 3.56-3.66, 6 Y 3.57-3.67, 3 Pm 3.57-3.68
9 Pm 0.7500 0.3753 0.8341  3 Tb 3.56-3.66, 6 Y 3.57-3.67, 3 Pm 3.57-3.68
10 Pm 0.7500 0.7500 0.3332  4 Y 3.57-3.67, 4 Pm 3.57, 4 Tb 3.66
11 Y 0.2500 0.0000 0.6678  4 Tb 3.57-3.66, 5 Pm 3.57-3.67, 3 Y 3.58-3.67
12 Y 0.2500 0.5000 0.6678  4 Tb 3.57-3.66, 5 Pm 3.57-3.67, 3 Y 3.58-3.67
13 Y 0.2500 0.7500 0.6659  6 Pm 3.57-3.66, 4 Tb 3.57, 2 Y 3.67
14 Y 0.7500 0.0000 0.3322  4 Tb 3.57-3.66, 5 Pm 3.57-3.67, 3 Y 3.58-3.67
15 Y 0.7500 0.2500 0.3341  6 Pm 3.57-3.66, 4 Tb 3.57, 2 Y 3.67
16 Y 0.7500 0.5000 0.3322  4 Tb 3.57-3.66, 5 Pm 3.57-3.67, 3 Y 3.58-3.67


Material: Tb3PmY2
Method: DFT, PBE
State: relaxed

Fermi-level density of states: 15.42 states/eV/cell
Calculated total energy: -0.19349 Ha/atom

Unit cell a=7.2096 b=7.2173 c=8.8920 alpha=78.23 beta=78.30 gamma=60.05
Last column: nearest neighbours and their distance in Å.
Atoms (fractional coordinates):
1 Tb 0.1395 0.1381 0.1661  6 Y 3.54-3.62, 5 Tb 3.54-3.61, 1 Pm 3.55
2 Tb 0.2495 0.7507 0.5006  5 Tb 3.56-3.62, 3 Y 3.56-3.57, 4 Pm 3.60-3.62
3 Tb 0.3603 0.8618 0.8346  6 Y 3.53-3.62, 4 Tb 3.54-3.61, 2 Pm 3.56
4 Tb 0.6397 0.1382 0.1654  6 Y 3.53-3.62, 4 Tb 3.54-3.61, 2 Pm 3.56
5 Tb 0.7505 0.2493 0.4994  5 Tb 3.56-3.62, 3 Y 3.56-3.57, 4 Pm 3.60-3.62
6 Tb 0.8605 0.8619 0.8339  6 Y 3.54-3.62, 5 Tb 3.54-3.61, 1 Pm 3.55
7 Pm 0.2506 0.2495 0.4992  7 Tb 3.55-3.62, 3 Y 3.56-3.58, 2 Pm 3.60-3.62
8 Pm 0.7494 0.7505 0.5008  7 Tb 3.55-3.62, 3 Y 3.56-3.58, 2 Pm 3.60-3.62
9 Y 0.1393 0.6395 0.1648  7 Tb 3.53-3.62, 3 Y 3.54-3.61, 2 Pm 3.56-3.58
10 Y 0.3610 0.3610 0.8344  3 Y 3.54-3.61, 8 Tb 3.54-3.61, 1 Pm 3.57
11 Y 0.6390 0.6390 0.1656  3 Y 3.54-3.61, 8 Tb 3.54-3.61, 1 Pm 3.57
12 Y 0.8607 0.3605 0.8352  7 Tb 3.53-3.62, 3 Y 3.54-3.61, 2 Pm 3.56-3.58


Material: Tb4Pm4Y
Method: DFT, PBE
State: relaxed

Fermi-level density of states: 15.43 states/eV/cell
Calculated total energy: -0.17585 Ha/atom

Unit cell a=8.9525 b=8.9525 c=6.8158 alpha=111.83 beta=111.83 gamma=36.75
Last column: nearest neighbours and their distance in Å.
Atoms (fractional coordinates):
1 Tb 0.0735 0.0735 0.3798  4 Pm 3.36-3.68, 3 Tb 3.40-3.48, 2 Y 3.70
2 Tb 0.3718 0.3718 0.3183  6 Pm 3.39-3.79, 2 Tb 3.40, 1 Y 3.63
3 Tb 0.6282 0.6282 0.6817  6 Pm 3.39-3.79, 2 Tb 3.40, 1 Y 3.63
4 Tb 0.9265 0.9265 0.6202  4 Pm 3.36-3.68, 3 Tb 3.40-3.48, 2 Y 3.70
5 Pm 0.1330 0.1330 0.9606  5 Tb 3.36-3.68, 3 Pm 3.53, 2 Y 3.69
6 Pm 0.2812 0.2812 0.7138  2 Tb 3.37-3.59, 1 Y 3.46, 3 Pm 3.53
7 Pm 0.7188 0.7188 0.2862  2 Tb 3.37-3.59, 1 Y 3.46, 3 Pm 3.53
8 Pm 0.8670 0.8670 0.0394  5 Tb 3.36-3.68, 3 Pm 3.53, 2 Y 3.69
9 Y 0.5000 0.5000 0.0000  6 Pm 3.46-3.69, 6 Tb 3.63-3.70


Material: TbPm8Y5
Method: DFT, PBE
State: relaxed

Fermi-level density of states: 21.62 states/eV/cell
Calculated total energy: -0.18736 Ha/atom

Unit cell a=8.5785 b=8.5785 c=8.5785 alpha=111.14 beta=111.14 gamma=106.19
Last column: nearest neighbours and their distance in Å.
Atoms (fractional coordinates):
1 Tb 0.0000 0.0000 0.0000  4 Pm 3.24
2 Pm 0.0883 0.6755 0.7691  5 Y 3.20-3.59, 1 Tb 3.24
3 Pm 0.1746 0.2783 0.7600  5 Y 3.40-3.62, 3 Pm 3.59-3.68
4 Pm 0.3245 0.0936 0.4128  5 Y 3.20-3.59, 1 Tb 3.24
5 Pm 0.5183 0.4146 0.2400  5 Y 3.40-3.62, 3 Pm 3.59-3.68
6 Pm 0.5854 0.8254 0.1037  5 Y 3.40-3.62, 3 Pm 3.59-3.68
7 Pm 0.6808 0.9117 0.5872  5 Y 3.20-3.59, 1 Tb 3.24
8 Pm 0.7217 0.4817 0.8963  5 Y 3.40-3.62, 3 Pm 3.59-3.68
9 Pm 0.9064 0.3192 0.2309  5 Y 3.20-3.59, 1 Tb 3.24
10 Y 0.2141 0.6199 0.1850  8 Pm 3.39-3.62, 2 Y 3.54
11 Y 0.3801 0.5651 0.5942  8 Pm 3.39-3.62, 2 Y 3.54
12 Y 0.4349 0.0291 0.8150  8 Pm 3.39-3.62, 2 Y 3.54
13 Y 0.7500 0.2500 0.5000  8 Pm 3.20-3.40
14 Y 0.9709 0.7859 0.4058  8 Pm 3.39-3.62, 2 Y 3.54


Material: Tb3Pm2Y7
Method: DFT, PBE
State: relaxed

Fermi-level density of states: 15.92 states/eV/cell
Calculated total energy: -0.20699 Ha/atom

Unit cell a=5.8324 b=3.6001 c=18.8060 alpha=90.00 beta=93.51 gamma=90.00
Last column: nearest neighbours and their distance in Å.
Atoms (fractional coordinates):
1 Tb 0.0000 0.0000 0.0000  8 Y 3.35-3.43, 2 Tb 3.60
2 Tb 0.2781 0.5000 0.6317  2 Tb 3.60, 8 Y 3.66-4.02, 4 Pm 3.70
3 Tb 0.7219 0.5000 0.3683  2 Tb 3.60, 8 Y 3.66-4.02, 4 Pm 3.70
4 Pm 0.2075 0.0000 0.2941  3 Y 3.16-3.37
5 Pm 0.7925 0.0000 0.7059  3 Y 3.16-3.37
6 Y 0.1834 0.5000 0.1425  7 Y 3.35-3.60, 2 Tb 3.35, 2 Pm 3.37
7 Y 0.2420 0.0000 0.4621  1 Pm 3.16, 2 Y 3.24-3.25
8 Y 0.3133 0.0000 0.8234  8 Y 3.47-3.88, 2 Pm 3.64-3.67
9 Y 0.5000 0.5000 0.0000  4 Y 3.35-3.60, 4 Tb 3.43
10 Y 0.6867 0.0000 0.1766  8 Y 3.47-3.88, 2 Pm 3.64-3.67
11 Y 0.7580 0.0000 0.5379  1 Pm 3.16, 2 Y 3.24-3.25
12 Y 0.8166 0.5000 0.8575  7 Y 3.35-3.60, 2 Tb 3.35, 2 Pm 3.37